1.
Material: Er5Zn2Te2
Method: DFT, PBE
State: optimized geometry

Properties
- VASP energy: -4.234 eV per atom
- SG: Cmce
- E_form (uncorrected): -0.718 eV/atom

abc: 8.6073 8.6073 7.8009
angles: 90.00 90.00 54.23
Sites, in units of the cell vectors:
Er: 0.0000 0.0000 0.0000
Er: 0.0400 0.7081 0.6644
Er: 0.2081 0.5400 0.1644
Er: 0.2919 0.9600 0.6644
Er: 0.4600 0.7919 0.1644
Er: 0.5000 0.5000 0.5000
Er: 0.5400 0.2081 0.8356
Er: 0.7081 0.0400 0.3356
Er: 0.7919 0.4600 0.8356
Er: 0.9600 0.2919 0.3356
Zn: 0.1276 0.8724 0.3752
Zn: 0.3724 0.6276 0.8752
Zn: 0.6276 0.3724 0.1248
Zn: 0.8724 0.1276 0.6248
Te: 0.2056 0.2056 0.0000
Te: 0.2944 0.2944 0.5000
Te: 0.7056 0.7056 0.5000
Te: 0.7944 0.7944 0.0000

***

2.
Material: Er3ZnTe6
Method: DFT, PBE
State: optimized geometry

Properties
- VASP energy: -4.411 eV per atom
- SG: Cmc2_1
- E_form (uncorrected): -1.029 eV/atom

abc: 9.5921 9.5921 7.0990
angles: 90.00 90.00 102.01
Sites, in units of the cell vectors:
Er: 0.1087 0.8913 0.5000
Er: 0.2249 0.4278 0.5915
Er: 0.4278 0.2249 0.0915
Er: 0.5722 0.7751 0.5915
Er: 0.7751 0.5722 0.0915
Er: 0.8913 0.1087 0.0000
Zn: 0.2932 0.7068 0.1397
Zn: 0.7068 0.2932 0.6397
Te: 0.0544 0.5905 0.3226
Te: 0.1361 0.1888 0.2949
Te: 0.1888 0.1361 0.7949
Te: 0.2746 0.7254 0.7715
Te: 0.4095 0.9456 0.3226
Te: 0.4608 0.5392 0.2814
Te: 0.5392 0.4608 0.7814
Te: 0.5905 0.0544 0.8226
Te: 0.7254 0.2746 0.2715
Te: 0.8112 0.8639 0.2949
Te: 0.8639 0.8112 0.7949
Te: 0.9456 0.4095 0.8226

***

3.
Material: Er6ZnTe2
Method: DFT, PBE
State: optimized geometry

Properties
- VASP energy: -4.153 eV per atom
- SG: P4_2/mnm
- E_form (uncorrected): -0.271 eV/atom

abc: 6.8595 6.8595 12.6930
angles: 90.00 90.00 90.00
Sites, in units of the cell vectors:
Er: 0.1966 0.1966 0.1603
Er: 0.1966 0.1966 0.8397
Er: 0.2224 0.2224 0.5000
Er: 0.2776 0.7224 0.0000
Er: 0.3034 0.6966 0.3397
Er: 0.3034 0.6966 0.6603
Er: 0.6966 0.3034 0.3397
Er: 0.6966 0.3034 0.6603
Er: 0.7224 0.2776 0.0000
Er: 0.7776 0.7776 0.5000
Er: 0.8034 0.8034 0.1603
Er: 0.8034 0.8034 0.8397
Zn: 0.0000 0.0000 0.0000
Zn: 0.5000 0.5000 0.5000
Te: 0.0000 0.0000 0.3391
Te: 0.0000 0.0000 0.6609
Te: 0.5000 0.5000 0.1609
Te: 0.5000 0.5000 0.8391

***

4.
Material: Er3ZnTe
Method: DFT, PBE
State: optimized geometry

Properties
- VASP energy: -4.209 eV per atom
- SG: C2/m
- Offset from the most stable computed form: 0.0 meV per atom
- E_form (uncorrected): -0.588 eV/atom

abc: 11.1584 11.1584 6.1407
angles: 98.37 98.37 20.47
Sites, in units of the cell vectors:
Er: 0.0011 0.0011 0.2560
Er: 0.1955 0.1955 0.0961
Er: 0.3709 0.3709 0.4366
Er: 0.6291 0.6291 0.5634
Er: 0.8045 0.8045 0.9039
Er: 0.9989 0.9989 0.7440
Zn: 0.2310 0.2310 0.6149
Zn: 0.7690 0.7690 0.3851
Te: 0.4129 0.4129 0.9578
Te: 0.5871 0.5871 0.0422

***

5.
Material: ErZnTe2
Method: DFT, PBE
State: optimized geometry

Properties
- VASP energy: -3.683 eV per atom
- SG: R-3m
- E_form (uncorrected): -0.653 eV/atom

abc: 9.1245 9.1245 9.1245
angles: 27.78 27.78 27.78
Sites, in units of the cell vectors:
Er: 0.0000 0.0000 0.0000
Zn: 0.5000 0.5000 0.5000
Te: 0.3984 0.3984 0.3984
Te: 0.6016 0.6016 0.6016

***

6.
Material: Er8Zn2Te
Method: DFT, PBE
State: optimized geometry

Properties
- VASP energy: -4.023 eV per atom
- SG: C2/m
- E_form (uncorrected): -0.187 eV/atom

abc: 7.9494 7.9494 5.5826
angles: 99.02 99.02 115.08
Sites, in units of the cell vectors:
Er: 0.0841 0.3278 0.6107
Er: 0.2388 0.7612 0.0000
Er: 0.3278 0.0841 0.6107
Er: 0.3990 0.3990 0.2033
Er: 0.6010 0.6010 0.7967
Er: 0.6722 0.9159 0.3893
Er: 0.7612 0.2388 0.0000
Er: 0.9159 0.6722 0.3893
Zn: 0.3059 0.6941 0.5000
Zn: 0.6941 0.3059 0.5000
Te: 0.0000 0.0000 0.0000

***

7.
Material: Er8ZnTe2
Method: DFT, PBE
State: optimized geometry

Properties
- VASP energy: -4.366 eV per atom
- SG: C2/m
- E_form (uncorrected): -0.360 eV/atom

abc: 8.4049 8.4049 6.2182
angles: 93.45 93.45 46.57
Sites, in units of the cell vectors:
Er: 0.0851 0.0851 0.3716
Er: 0.1561 0.6598 0.1565
Er: 0.3060 0.3060 0.6141
Er: 0.3402 0.8439 0.8435
Er: 0.6598 0.1561 0.1565
Er: 0.6940 0.6940 0.3859
Er: 0.8439 0.3402 0.8435
Er: 0.9149 0.9149 0.6284
Zn: 0.5000 0.5000 0.5000
Te: 0.2397 0.2397 0.1108
Te: 0.7603 0.7603 0.8892

***

8.
Material: Er7Zn2Te2
Method: DFT, PBE
State: optimized geometry

Properties
- VASP energy: -4.218 eV per atom
- SG: Imm2
- Offset from the most stable computed form: 79.0 meV per atom
- E_form (uncorrected): -0.511 eV/atom

abc: 9.1986 9.1986 9.1986
angles: 155.31 73.41 112.15
Sites, in units of the cell vectors:
Er: 0.0000 0.0000 0.0000
Er: 0.0422 0.3554 0.6868
Er: 0.1383 0.7613 0.3770
Er: 0.3843 0.7613 0.6230
Er: 0.4807 0.5964 0.8842
Er: 0.6687 0.3554 0.3132
Er: 0.7122 0.5964 0.1158
Zn: 0.3648 0.3648 0.0000
Zn: 0.7614 0.2614 0.5000
Te: 0.2990 0.0769 0.2221
Te: 0.8549 0.0769 0.7779